# TaSbAu SCAN single point on PBEsol structure
data_TaSbAu
_chemical_formula_sum 'Ta2 Sb2 Au2'
_symmetry_space_group_name_H-M 'I 4 m m'
_symmetry_Int_Tables_number 107
_symmetry_space_group_name_Hall 'I 4 -2'
_cell_length_a 3.0039
_cell_length_b 3.0039
_cell_length_c 13.6115
_cell_angle_alpha 90.00
_cell_angle_beta 90.00
_cell_angle_gamma 90.00
loop_
_atom_site_label
_atom_site_fract_x
_atom_site_fract_y
_atom_site_fract_z
_atom_site_occupancy
Ta1 0.0000 0.0000 0.0000 1
Sb1 0.0000 0.0000 0.3417 1
Au1 0.0000 0.0000 0.6332 1
# * E: -345.16 eV/cell
# * energy above the most stable polymorph in this dataset: 0.0000 eV/atom
# * raw formation energy: 139.6 meV per atom